PBE-GGA VZnPd, optimized geometry; total magnetic moment = 0.00 μB per formula unit; total DFT energy (no corrections) = -5.387 eV per atom; SG = No. 107
1.0
-1.374 1.374 5.639
1.374 -1.374 5.639
1.374 1.374 -5.639
V Zn Pd
1 1 1
Cartesian
0.000 0.000 0.000
0.000 0.000 7.524
0.000 0.000 3.766